No. 1
Computed, not measured: a relaxed YSnIrAu crystal at the PBE level of DFT.

## Properties
- energy of formation (eV per atom) = -0.50
- spin magnetization (μB/f.u.) = 0.00

Cell lengths 4.8558, 4.8558, 4.8558 Å; angles 60.00, 60.00, 60.00 degrees
With the nearest neighbours (Å) after each atom.
Fractional positions:
Y  0.0000  0.0000  0.0000  4 Ir 2.97, 4 Au 2.97
Ir  0.7500  0.7500  0.7500  4 Sn 2.97, 4 Y 2.97
Au  0.2500  0.2500  0.2500  4 Sn 2.97, 4 Y 2.97
Sn  0.5000  0.5000  0.5000  4 Au 2.97, 4 Ir 2.97



No. 2
Computed, not measured: a relaxed NaH6IrPd crystal at the PBE level of DFT.

## Properties
- total energy (eV per atom) = -4.069
- spin magnetization (μB/f.u.) = 0.00

Cell lengths 5.3943, 5.1463, 3.4992 Å; angles 86.63, 89.86, 57.47 degrees
With the nearest neighbours (Å) after each atom.
Fractional positions:
Na  0.0171  0.9683  0.0274  8 H 2.29-2.48
H  0.0854  0.2336  0.5300  1 Ir 1.68
H  0.5325  0.9532  0.7366  1 Ir 1.72, 1 Pd 1.76
H  0.6895  0.2362  0.5250  1 Ir 1.69, 1 Pd 1.89
H  0.9886  0.6606  0.5315  1 Ir 1.73, 1 Pd 1.76, 1 H 1.92
H  0.3435  0.6638  0.5325  1 Ir 1.74, 1 Pd 1.76, 1 H 1.92
H  0.3070  0.3568  0.0454  2 Ir 1.75-1.76
Ir  0.3379  0.3294  0.5490  7 H 1.68-1.76
Pd  0.6984  0.5982  0.5225  5 H 1.76-1.91



No. 3
Computed, not measured: a relaxed PmSc2Te2 crystal at the PBE level of DFT.

## Properties
- formation energy from raw total energies (meV/atom) = -821
- spin magnetization (μB/f.u.) = 0.38

Cell lengths 7.6474, 7.6474, 5.8514 Å; angles 109.92, 109.92, 101.22 degrees
With the nearest neighbours (Å) after each atom.
Fractional positions:
Pm  0.8999  0.6001  0.7500  4 Te 3.13-3.49, 2 Sc 3.41
Pm  0.1001  0.3999  0.2500  4 Te 3.13-3.49, 2 Sc 3.41
Sc  0.2229  0.9029  0.5233  4 Te 2.85-3.01, 1 Sc 3.14
Sc  0.4029  0.7229  0.0233  4 Te 2.85-3.01, 1 Sc 3.14
Sc  0.7771  0.0971  0.4767  4 Te 2.85-3.01, 1 Sc 3.14
Sc  0.5971  0.2771  0.9767  4 Te 2.85-3.01, 1 Sc 3.14
Te  0.1949  0.3051  0.7500  4 Sc 2.85-2.99, 2 Pm 3.13
Te  0.3816  0.1184  0.2500  4 Sc 2.92-3.01
Te  0.6184  0.8816  0.7500  4 Sc 2.92-3.01
Te  0.8051  0.6949  0.2500  4 Sc 2.85-2.99, 2 Pm 3.13



No. 4
Computed, not measured: a relaxed PmBi2Pt crystal at the PBE level of DFT.

## Properties
- energy of formation (eV per atom) = -0.48
- energy above the lowest structure with this stoichiometry (meV/atom) = 0
- spin magnetization (μB/f.u.) = 0.00

Cell lengths 4.3093, 4.8602, 4.8602 Å; angles 90.00, 90.00, 90.00 degrees
With the nearest neighbours (Å) after each atom.
Fractional positions:
Bi  0.0000  0.0000  0.5000  4 Pm 3.25, 4 Pt 3.25, 4 Bi 3.44
Bi  0.0000  0.5000  0.0000  4 Pm 3.25, 4 Pt 3.25, 4 Bi 3.44
Pt  0.5000  0.5000  0.5000  8 Bi 3.25, 4 Pm 3.44
Pm  0.5000  0.0000  0.0000  8 Bi 3.25, 4 Pt 3.44



Q: Number 2 is which compound?
A: NaH6IrPd



Q: The highest spin magnetization belongs to which entry?
A: PmSc2Te2